No. 1
# Ti6ZnFe5

Ti6ZnFe5 after structural relaxation (GGA-PBE, Alexandria via LeMat-Bulk).

Cell lengths 4.221, 5.957, 12.687 Å; angles 90.00, 90.00, 90.00 degrees
Space group Immm (No. 71)
Unique sites:
Ti 0.000 0.241 0.000 [4 per cell]
Ti 0.000 0.253 0.330 [8 per cell]
Zn 0.000 0.000 0.500 [2 per cell]
Fe 0.000 0.000 0.167 [4 per cell]
Fe 0.000 0.500 0.167 [4 per cell]
Fe 0.000 0.500 0.500 [2 per cell]

Computed properties:
Theoretical density   6.577 g/cm³
ΔE_f   -0.34 eV per atom
Total magnetic moment   0.00 μB/f.u.

=====

No. 2
# TiZnFe2

TiZnFe2 after structural relaxation (GGA-PBE, Alexandria via LeMat-Bulk).

Cell lengths 3.950, 3.950, 3.227 Å; angles 90.00, 90.00, 90.00 degrees
Space group P4/mmm (No. 123)
Unique sites:
Ti 0.000 0.000 0.000 [1 per cell]
Zn 0.500 0.500 0.000 [1 per cell]
Fe 0.000 0.500 0.500 [2 per cell]

Computed properties:
Theoretical density   7.420 g/cm³
ΔE_f   -0.14 eV per atom
Total magnetic moment   1.97 μB/f.u.

=====

No. 3
# ZrTiZn2Fe

ZrTiZn2Fe after structural relaxation (GGA-PBE, Alexandria via LeMat-Bulk).

Cell lengths 4.770, 4.770, 4.033 Å; angles 90.00, 90.00, 90.00 degrees
Space group P4/mmm (No. 123)
Unique sites:
Zr 0.000 0.000 0.000 [1 per cell]
Ti 0.500 0.500 0.500 [1 per cell]
Zn 0.000 0.500 0.500 [2 per cell]
Fe 0.500 0.500 0.000 [1 per cell]

Computed properties:
Theoretical density   5.894 g/cm³
ΔE_f   0.62 eV per atom
Total magnetic moment   0.00 μB/f.u.

=====

No. 4
# ZrTi2Fe

ZrTi2Fe after structural relaxation (GGA-PBE, Alexandria via LeMat-Bulk).

Cell lengths 3.037, 19.165, 4.644 Å; angles 90.00, 90.00, 90.00 degrees
Space group Cmcm (No. 63)
Unique sites:
Zr 0.000 0.116 0.250 [4 per cell]
Ti 0.000 0.243 0.750 [4 per cell]
Ti 0.000 0.466 0.250 [4 per cell]
Fe 0.000 0.353 0.250 [4 per cell]

Computed properties:
Excess energy over the best structure of this formula in the dataset   67 meV/atom
Theoretical density   5.967 g/cm³
ΔE_f   -0.07 eV per atom
Total magnetic moment   0.00 μB/f.u.

=====

No. 5
# Zr2TiFe2

Zr2TiFe2 after structural relaxation (GGA-PBE, Alexandria via LeMat-Bulk).

Cell lengths 6.285, 6.285, 4.264 Å; angles 90.00, 90.00, 90.00 degrees
Space group P4/mbm (No. 127)
Unique sites:
Zr 0.184 0.316 0.000 [4 per cell]
Ti 0.000 0.000 0.500 [2 per cell]
Fe 0.122 0.622 0.500 [4 per cell]

Computed properties:
Theoretical density   6.744 g/cm³
ΔE_f   -0.12 eV per atom
Total magnetic moment   0.00 μB/f.u.

=====

No. 6
# ZrTi4Fe5

ZrTi4Fe5 after structural relaxation (GGA-PBE, Alexandria via LeMat-Bulk).

Cell lengths 2.986, 2.986, 15.115 Å; angles 90.00, 90.00, 90.00 degrees
Space group P4/mmm (No. 123)
Unique sites:
Zr 0.000 0.000 0.000 [1 per cell]
Ti 0.000 0.000 0.208 [2 per cell]
Ti 0.000 0.000 0.403 [2 per cell]
Fe 0.500 0.500 0.114 [2 per cell]
Fe 0.500 0.500 0.306 [2 per cell]
Fe 0.500 0.500 0.500 [1 per cell]

Computed properties:
Theoretical density   6.926 g/cm³
ΔE_f   -0.34 eV per atom
Total magnetic moment   0.17 μB/f.u.

=====

No. 7
# ZrTi2Fe

ZrTi2Fe after structural relaxation (GGA-PBE, Alexandria via LeMat-Bulk).

Cell lengths 5.777, 8.601, 5.503 Å; angles 90.00, 90.00, 90.00 degrees
Space group Pnma (No. 62)
Unique sites:
Zr 0.026 0.250 0.140 [4 per cell]
Ti 0.189 0.055 0.656 [8 per cell]
Fe 0.103 0.750 0.384 [4 per cell]

Computed properties:
Excess energy over the best structure of this formula in the dataset   29 meV/atom
Theoretical density   5.898 g/cm³
ΔE_f   -0.11 eV per atom
Total magnetic moment   0.00 μB/f.u.

=====

No. 8
# ZrTi2Fe

ZrTi2Fe after structural relaxation (GGA-PBE, Alexandria via LeMat-Bulk).

Cell lengths 7.126, 7.126, 5.490 Å; angles 90.00, 90.00, 90.00 degrees
Space group I-42d (No. 122)
Unique sites:
Zr 0.000 0.000 0.000 [4 per cell]
Ti 0.189 0.750 0.625 [8 per cell]
Fe 0.000 0.000 0.500 [4 per cell]

Computed properties:
Excess energy over the best structure of this formula in the dataset   257 meV/atom
Theoretical density   5.785 g/cm³
ΔE_f   0.12 eV per atom
Total magnetic moment   0.00 μB/f.u.

=====

No. 9
# ZrTi2Fe

ZrTi2Fe after structural relaxation (GGA-PBE, Alexandria via LeMat-Bulk).

Cell lengths 6.349, 6.349, 6.349 Å; angles 90.00, 90.00, 90.00 degrees
Space group Fm-3m (No. 225)
Unique sites:
Zr 0.000 0.000 0.000 [4 per cell]
Ti 0.250 0.250 0.250 [8 per cell]
Fe 0.000 0.000 0.500 [4 per cell]

Computed properties:
Excess energy over the best structure of this formula in the dataset   237 meV/atom
Theoretical density   6.302 g/cm³
ΔE_f   0.10 eV per atom
Total magnetic moment   0.00 μB/f.u.

=====

No. 10
# ZrTiFe3

ZrTiFe3 after structural relaxation (GGA-PBE, Alexandria via LeMat-Bulk).

Cell lengths 4.269, 4.269, 4.269 Å; angles 90.00, 90.00, 90.00 degrees
Space group Pm-3m (No. 221)
Unique sites:
Zr 0.000 0.000 0.000 [1 per cell]
Ti 0.500 0.500 0.500 [1 per cell]
Fe 0.000 0.500 0.500 [3 per cell]

Computed properties:
Excess energy over the best structure of this formula in the dataset   0 meV/atom
Theoretical density   6.545 g/cm³
ΔE_f   0.65 eV per atom
Total magnetic moment   1.94 μB/f.u.

=====

No. 11
# ZrTi2Fe

ZrTi2Fe after structural relaxation (GGA-PBE, Alexandria via LeMat-Bulk).

Cell lengths 3.033, 3.033, 7.124 Å; angles 90.00, 90.00, 90.00 degrees
Space group P4/mmm (No. 123)
Unique sites:
Zr 0.000 0.000 0.000 [1 per cell]
Ti 0.500 0.500 0.298 [2 per cell]
Fe 0.000 0.000 0.500 [1 per cell]

Computed properties:
Excess energy over the best structure of this formula in the dataset   0 meV/atom
Theoretical density   6.153 g/cm³
ΔE_f   -0.14 eV per atom
Total magnetic moment   0.04 μB/f.u.

=====

No. 12
# TlFe

TlFe after structural relaxation (GGA-PBE, Alexandria via LeMat-Bulk).

Cell lengths 3.5131, 3.5131, 7.8892 Å; angles 90.00, 90.00, 120.00 degrees
Space group P-3m1 (No. 164)
Unique sites:
Tl 0.3333 0.6667 0.1885 [2 per cell]
Fe 0.3333 0.6667 0.5437 [2 per cell]

Computed properties:
Theoretical density   10.249 g/cm³
ΔE_f   0.64 eV per atom
Total magnetic moment   0.00 μB/f.u.

=====

No. 13
# Tl4Fe

Tl4Fe after structural relaxation (GGA-PBE, Alexandria via LeMat-Bulk).

Cell lengths 5.200, 5.200, 5.200 Å; angles 90.00, 90.00, 90.00 degrees
Space group Pm-3m (No. 221)
Unique sites:
Tl 0.000 0.000 0.000 [1 per cell]
Tl 0.000 0.500 0.500 [3 per cell]
Fe 0.500 0.500 0.500 [1 per cell]

Computed properties:
Excess energy over the best structure of this formula in the dataset   0 meV/atom
Theoretical density   10.315 g/cm³
ΔE_f   0.28 eV per atom
Total magnetic moment   1.51 μB/f.u.

=====

No. 14
# TlFe2

TlFe2 after structural relaxation (GGA-PBE, Alexandria via LeMat-Bulk).

Cell lengths 4.5041, 4.5041, 5.3914 Å; angles 90.00, 90.00, 120.00 degrees
Space group P6_3/mmc (No. 194)
Unique sites:
Tl 0.3333 0.6667 0.2500 [2 per cell]
Fe 0.0000 0.0000 0.0000 [2 per cell]
Fe 0.3333 0.6667 0.7500 [2 per cell]

Computed properties:
Theoretical density   11.082 g/cm³
ΔE_f   0.58 eV per atom
Total magnetic moment   5.26 μB/f.u.

=====

No. 15
# Tl2Fe

Tl2Fe after structural relaxation (GGA-PBE, Alexandria via LeMat-Bulk).

Cell lengths 3.279, 26.006, 3.464 Å; angles 90.00, 90.00, 90.00 degrees
Space group Cmcm (No. 63)
Unique sites:
Tl 0.000 0.058 0.250 [4 per cell]
Tl 0.000 0.343 0.250 [4 per cell]
Fe 0.000 0.258 0.750 [4 per cell]

Computed properties:
Theoretical density   10.446 g/cm³
ΔE_f   0.35 eV per atom
Total magnetic moment   2.71 μB/f.u.

=====

No. 16
# Tl5Fe

Tl5Fe after structural relaxation (GGA-PBE, Alexandria via LeMat-Bulk).

Cell lengths 3.354, 3.354, 14.249 Å; angles 90.00, 90.00, 90.00 degrees
Space group P4/mmm (No. 123)
Unique sites:
Tl 0.000 0.000 0.000 [1 per cell]
Tl 0.000 0.000 0.377 [2 per cell]
Tl 0.500 0.500 0.191 [2 per cell]
Fe 0.500 0.500 0.500 [1 per cell]

Computed properties:
Excess energy over the best structure of this formula in the dataset   0 meV/atom
Theoretical density   11.168 g/cm³
ΔE_f   0.29 eV per atom
Total magnetic moment   2.95 μB/f.u.

=====

No. 17
# TlFe

TlFe after structural relaxation (GGA-PBE, Alexandria via LeMat-Bulk).

Cell lengths 3.6560, 3.6560, 20.7592 Å; angles 90.00, 90.00, 120.00 degrees
Space group R-3m (No. 166, hexagonal axes)
Unique sites:
Tl 0.0000 0.0000 0.1030 [6 per cell]
Fe 0.0000 0.0000 0.3439 [6 per cell]

Computed properties:
Theoretical density   10.789 g/cm³
ΔE_f   0.62 eV per atom
Total magnetic moment   0.00 μB/f.u.

=====

No. 18
# Tl2Fe

Tl2Fe after structural relaxation (GGA-PBE, Alexandria via LeMat-Bulk).

Cell lengths 3.190, 3.190, 26.747 Å; angles 90.00, 90.00, 90.00 degrees
Space group I4_1/amd (No. 141, origin choice 2)
Unique sites:
Tl 0.000 0.250 0.305 [8 per cell]
Fe 0.000 0.250 0.875 [4 per cell]

Computed properties:
Theoretical density   11.339 g/cm³
ΔE_f   0.56 eV per atom
Total magnetic moment   2.81 μB/f.u.

=====

No. 19
# TlFe3

TlFe3 after structural relaxation (GGA-PBE, Alexandria via LeMat-Bulk).

Cell lengths 4.303, 5.390, 5.071 Å; angles 90.00, 90.00, 90.00 degrees
Space group Pmmn (No. 59, origin choice 2)
Unique sites:
Tl 0.250 0.250 0.130 [2 per cell]
Fe 0.250 0.016 0.636 [4 per cell]
Fe 0.250 0.750 0.241 [2 per cell]

Computed properties:
Theoretical density   10.503 g/cm³
ΔE_f   0.37 eV per atom
Total magnetic moment   7.31 μB/f.u.

=====

No. 20
# TlFe

TlFe after structural relaxation (GGA-PBE, Alexandria via LeMat-Bulk).

Cell lengths 4.052, 4.052, 8.960 Å; angles 90.00, 90.00, 90.00 degrees
Space group I4_1/amd (No. 141, origin choice 2)
Unique sites:
Tl 0.000 0.250 0.375 [4 per cell]
Fe 0.000 0.250 0.875 [4 per cell]

Computed properties:
Theoretical density   11.750 g/cm³
ΔE_f   0.71 eV per atom
Total magnetic moment   2.59 μB/f.u.

=====

No. 21
# Tl2Fe

Tl2Fe after structural relaxation (GGA-PBE, Alexandria via LeMat-Bulk).

Cell lengths 15.115, 3.134, 6.471 Å; angles 90.00, 115.16, 90.00 degrees
Space group C2/m (No. 12)
Unique sites:
Tl 0.119 0.000 0.117 [4 per cell]
Tl 0.162 0.000 0.660 [4 per cell]
Fe 0.000 0.500 0.317 [4 per cell]

Computed properties:
Theoretical density   11.123 g/cm³
ΔE_f   0.50 eV per atom
Total magnetic moment   2.72 μB/f.u.

=====

No. 22
# Tl5Fe

Tl5Fe after structural relaxation (GGA-PBE, Alexandria via LeMat-Bulk).

Cell lengths 4.645, 23.014, 3.159 Å; angles 90.00, 90.00, 90.00 degrees
Space group Cmmm (No. 65)
Unique sites:
Tl 0.000 0.000 0.000 [2 per cell]
Tl 0.000 0.197 0.500 [4 per cell]
Tl 0.000 0.392 0.000 [4 per cell]
Fe 0.000 0.500 0.500 [2 per cell]

Computed properties:
Excess energy over the best structure of this formula in the dataset   1 meV/atom
Theoretical density   10.599 g/cm³
ΔE_f   0.29 eV per atom
Total magnetic moment   2.36 μB/f.u.

=====

No. 23
# TlFe

TlFe after structural relaxation (GGA-PBE, Alexandria via LeMat-Bulk).

Cell lengths 10.838, 3.123, 7.162 Å; angles 90.00, 91.46, 90.00 degrees
Space group Cm (No. 8)
Unique sites:
Tl 0.000 0.000 0.000 [2 per cell]
Tl 0.031 0.000 0.529 [2 per cell]
Tl 0.264 0.500 0.329 [2 per cell]
Fe 0.177 0.500 0.782 [2 per cell]
Fe 0.272 0.000 0.998 [2 per cell]
Fe 0.331 0.000 0.676 [2 per cell]

Computed properties:
Theoretical density   10.699 g/cm³
ΔE_f   0.44 eV per atom
Total magnetic moment   2.62 μB/f.u.

=====

No. 24
# TlFe

TlFe after structural relaxation (GGA-PBE, Alexandria via LeMat-Bulk).

Cell lengths 4.123, 8.806, 6.835 Å; angles 90.00, 90.00, 90.00 degrees
Space group Pmmn (No. 59, origin choice 2)
Unique sites:
Tl 0.250 0.063 0.160 [4 per cell]
Tl 0.250 0.750 0.473 [2 per cell]
Fe 0.250 0.053 0.573 [4 per cell]
Fe 0.250 0.250 0.824 [2 per cell]

Computed properties:
Theoretical density   10.447 g/cm³
ΔE_f   0.56 eV per atom
Total magnetic moment   2.34 μB/f.u.

=====

No. 25
# TlFe3

TlFe3 after structural relaxation (GGA-PBE, Alexandria via LeMat-Bulk).

Cell lengths 3.155, 3.155, 5.917 Å; angles 90.00, 90.00, 90.00 degrees
Space group P4/mmm (No. 123)
Unique sites:
Tl 0.000 0.000 0.000 [1 per cell]
Fe 0.000 0.000 0.500 [1 per cell]
Fe 0.500 0.500 0.300 [2 per cell]

Computed properties:
Theoretical density   10.488 g/cm³
ΔE_f   0.34 eV per atom
Total magnetic moment   7.48 μB/f.u.

=====

No. 26
# TlFe

TlFe after structural relaxation (GGA-PBE, Alexandria via LeMat-Bulk).

Cell lengths 5.483, 5.483, 5.497 Å; angles 90.00, 90.00, 90.00 degrees
Space group P4_2/mnm (No. 136)
Unique sites:
Tl 0.190 0.190 0.000 [4 per cell]
Fe 0.159 0.159 0.500 [4 per cell]

Computed properties:
Theoretical density   10.461 g/cm³
ΔE_f   0.80 eV per atom
Total magnetic moment   2.66 μB/f.u.